# KUSiHO6 (PBE, relaxed)
# size of the total moment = 0.0 μB per formula unit
# electronic total energy = -7.672 eV/atom
# V = 15.54 Å³ per atom
data_KUSiHO6
_cell_length_a 6.639
_cell_length_b 7.097
_cell_length_c 6.788
_cell_angle_alpha 90.00
_cell_angle_beta 103.64
_cell_angle_gamma 90.00
_symmetry_space_group_name_H-M 'P 1 21 1'
_symmetry_Int_Tables_number 4
_symmetry_space_group_name_Hall 'P 2yb'
loop_
_atom_site_label
_atom_site_fract_x
_atom_site_fract_y
_atom_site_fract_z
_atom_site_occupancy
K1 0.223 0.000 0.060 1
U1 0.141 0.655 0.528 1
Si1 0.355 0.156 0.575 1
H1 0.377 0.615 0.154 1
O1 0.115 0.649 0.249 1
O2 0.152 0.667 0.802 1
O3 0.188 0.981 0.520 1
O4 0.191 0.333 0.541 1
O5 0.477 0.152 0.819 1
O6 0.485 0.657 0.573 1